Record 1
First-principles (GGA-PBE) data for crystalline Fe2AuCS at its relaxed geometry, as listed in Alexandria via LeMat-Bulk.

Output
**DOS at the Fermi energy**: 5.53 states/eV/f.u.
**Total energy**: -21.71 eV for the cell shown
**Energy relative to the elements, uncorrected**: 2369 meV per atom

a = 4.918 Å, b = 4.637 Å, c = 4.918 Å
α = 90.00°, β = 90.00°, γ = 90.00°
Fractional positions:
C1 0.500 0.500 0.500
S1 0.000 0.500 0.000
Au1 0.000 0.000 0.000
Fe1 0.000 0.000 0.500
Fe2 0.500 0.000 0.000


Record 2
First-principles (GGA-PBE) data for crystalline SmLu2In at its relaxed geometry, as listed in Alexandria via LeMat-Bulk.

Output
**DOS at the Fermi energy**: 5.10 states/eV/f.u.
**Total energy**: -17.51 eV for the cell shown
**Offset from the most stable computed form**: 0 meV per atom
**DFT formation energy**: -1.0 eV/f.u.

a = 4.797 Å, b = 4.825 Å, c = 4.825 Å
α = 90.00°, β = 90.00°, γ = 90.00°
Fractional positions:
Lu1 0.000 0.000 0.500
Lu2 0.000 0.500 0.000
Sm1 0.500 0.500 0.500
In1 0.500 0.000 0.000


Record 3
First-principles (GGA-PBE) data for crystalline CuReNi2 at its relaxed geometry, as listed in Alexandria via LeMat-Bulk.

Output
**DOS at the Fermi energy**: 6.31 states/eV/f.u.
**Total energy**: -50.51 eV for the cell shown
**Offset from the most stable computed form**: 724 meV per atom
**DFT formation energy**: 2.8 eV/f.u.

a = 6.491 Å, b = 6.491 Å, c = 5.233 Å
α = 51.67°, β = 51.67°, γ = 90.00°
Fractional positions:
Re1 0.000 0.000 0.000
Re2 0.750 0.250 0.500
Cu1 0.500 0.500 0.000
Cu2 0.250 0.750 0.500
Ni1 0.623 0.125 0.250
Ni2 0.127 0.625 0.250
Ni3 0.375 0.377 0.750
Ni4 0.875 0.873 0.750


Record 4
First-principles (GGA-PBE) data for crystalline Tm3GaBi2 at its relaxed geometry, as listed in Alexandria via LeMat-Bulk.

Output
**DOS at the Fermi energy**: 2.99 states/eV/f.u.
**Total energy**: -54.18 eV for the cell shown
**DFT formation energy**: -2.9 eV/f.u.

a = 7.213 Å, b = 7.717 Å, c = 7.717 Å
α = 123.15°, β = 90.00°, γ = 90.00°
Fractional positions:
Tm1 0.486 0.174 0.820
Tm2 0.986 0.180 0.826
Tm3 0.408 0.367 0.367
Tm4 0.908 0.633 0.633
Tm5 0.986 0.826 0.180
Tm6 0.486 0.820 0.174
Ga1 0.715 0.975 0.975
Ga2 0.215 0.025 0.025
Bi1 0.736 0.198 0.500
Bi2 0.236 0.500 0.802
Bi3 0.236 0.802 0.500
Bi4 0.736 0.500 0.198


Record 5
First-principles (GGA-PBE) data for crystalline NaTe2IN at its relaxed geometry, as listed in Alexandria via LeMat-Bulk.

Output
**DOS at the Fermi energy**: 2.23 states/eV/f.u.
**Total energy**: -13.56 eV for the cell shown
**Offset from the most stable computed form**: 378 meV per atom
**Energy relative to the elements, uncorrected**: 783 meV per atom

a = 6.218 Å, b = 6.218 Å, c = 3.918 Å
α = 90.00°, β = 90.00°, γ = 90.00°
Fractional positions:
I1 0.000 0.000 0.000
Na1 0.500 0.500 0.500
Te1 0.000 0.500 0.000
Te2 0.500 0.000 0.000
N1 0.000 0.000 0.500


Record 6
First-principles (GGA-PBE) data for crystalline K4PmU3S8 at its relaxed geometry, as listed in Alexandria via LeMat-Bulk.

Output
**DOS at the Fermi energy**: 14.78 states/eV/f.u.
**Total energy**: -99.94 eV for the cell shown
**Energy relative to the elements, uncorrected**: -1494 meV per atom

a = 8.147 Å, b = 8.792 Å, c = 8.147 Å
α = 117.60°, β = 120.00°, γ = 90.00°
Fractional positions:
K1 0.500 0.000 0.000
K2 0.500 0.000 0.500
K3 0.000 0.000 0.000
K4 0.000 0.000 0.500
Pm1 0.000 0.500 0.000
U1 0.500 0.500 0.000
U2 0.500 0.500 0.500
U3 0.000 0.500 0.500
S1 0.238 0.706 0.968
S2 0.238 0.706 0.477
S3 0.266 0.298 0.532
S4 0.729 0.706 0.968
S5 0.271 0.294 0.032
S6 0.734 0.702 0.468
S7 0.762 0.294 0.523
S8 0.762 0.294 0.032